(1)
First-principles (PBE) data for a relaxed structure of SmMg8Zn4, as listed in Alexandria.

```
SmMg8Zn4
1.0
5.2111 0.0000 2.0946
2.6055 6.8629 1.0473
0.0460 0.0000 7.4151
Mg Sm Zn
8 1 4
Cartesian
1.7208 4.4906 3.2485
5.8068 5.3890 8.1421
3.5363 4.4906 6.2612
4.6614 5.3890 3.4622
0.9308 2.3723 5.2139
2.0558 1.4739 2.4149
4.3263 2.3723 4.2958
3.2012 1.4739 7.0948
0.0000 0.0000 0.0000
2.6285 0.0000 4.7549
0.0230 0.0000 3.7075
3.9083 3.4315 1.5710
1.3028 3.4315 0.5237
```

## Properties
E_form = -0.141 eV per atom
D(E_F) = 5.22 states/eV/f.u.

(2)
First-principles (PBE) data for a relaxed structure of Hf2TcAsCl, as listed in Alexandria.

```
Hf2TcAsCl
1.0
4.6275 0.0000 0.0000
0.0000 4.8577 0.0000
0.0000 0.0000 4.6275
Hf Tc Cl As
2 1 1 1
Cartesian
2.3137 0.0000 0.0000
0.0000 0.0000 2.3137
2.3137 2.4288 2.3137
0.0000 0.0000 0.0000
0.0000 2.4288 0.0000
```

## Properties
energy relative to the elements, uncorrected = 0.82 eV per atom
D(E_F) = 3.81 states/eV/f.u.

(3)
First-principles (PBE) data for a relaxed structure of V2PdWN, as listed in Alexandria.

```
V2PdWN
1.0
-2.2088 -0.9563 3.1582
-2.7060 -1.6501 -2.3922
1.9399 -3.5776 0.2735
W V N Pd
1 2 1 1
Cartesian
0.9699 -1.7888 0.1368
-1.3530 -0.8251 -1.1961
-1.1044 -0.4781 1.5791
0.0000 0.0000 0.0000
-1.4874 -3.0920 0.5198
```

## Properties
energy relative to the elements, uncorrected = -0.40 eV per atom
D(E_F) = 4.82 states/eV/f.u.

| no. | ρ (Mg/m³) |
| --- | --- |
| 1 | 3.81 |
| 2 | 9.03 |
| 3 | 10.49 |